No. 1
This record from the Alexandria database describes crystalline RbGaP2Pt4 at its relaxed geometry. The functional is GGA-PBE.

Structure (POSCAR):
```
RbGaP2Pt4
1.0
3.990 0.000 0.000
0.000 3.990 0.000
0.000 0.000 10.274
Rb Ga P Pt
1 1 2 4
Cartesian
0.000 0.000 0.000
0.000 0.000 5.137
1.995 1.995 2.138
1.995 1.995 8.136
0.000 1.995 3.409
0.000 1.995 6.865
1.995 0.000 3.409
1.995 0.000 6.865
```

The value obtained for the calculated total energy is -5.44 eV/atom. As for the density of states at the Fermi level: 0.399 states/eV/atom.

No. 2
This record from the Alexandria database describes crystalline TaTi at its relaxed geometry. The functional is GGA-PBE.

Structure (POSCAR):
```
TaTi
1.0
5.342 0.000 0.000
0.000 5.630 0.000
0.000 0.000 9.518
Ta Ti
8 8
Cartesian
0.039 0.697 2.409
1.288 2.066 0.027
1.383 3.564 4.786
2.632 4.933 7.168
2.710 2.118 7.109
3.959 0.749 9.491
4.054 4.881 4.732
5.303 3.512 2.350
0.070 0.675 7.074
1.108 4.912 9.503
1.563 0.718 4.744
2.601 4.955 2.315
2.741 2.140 2.444
3.779 3.533 0.015
4.234 2.097 4.774
5.272 3.490 7.203
```

The value obtained for the calculated total energy is -9.75 eV/atom. As for the density of states at the Fermi level: 1.363 states/eV/atom.

No. 3
This record from the Alexandria database describes crystalline Nd2TiBe3Pt4 at its relaxed geometry. The functional is GGA-PBE.

Structure (POSCAR):
```
Nd2TiBe3Pt4
1.0
4.060 0.000 0.000
0.000 4.060 0.000
0.000 0.000 10.382
Nd Ti Be Pt
2 1 3 4
Cartesian
0.000 2.030 2.469
2.030 0.000 7.913
0.000 0.000 5.191
0.000 2.030 9.194
2.030 0.000 1.188
2.030 2.030 5.191
0.000 0.000 0.000
0.000 2.030 6.720
2.030 0.000 3.662
2.030 2.030 0.000
```

The value obtained for the calculated total energy is -6.12 eV/atom. As for the density of states at the Fermi level: 0.813 states/eV/atom.